# Er6MgTc

Crystalline Er6MgTc at its relaxed geometry (PBE, Alexandria via LeMat-Bulk).

The calculation puts the calculated volume at 31.61 Å³/atom. Its formation energy is 0.2569 eV/atom. The spin magnetization comes out at 0.00 μB/f.u.

It has space group P-1 (No. 2), with a = 6.7724 Å, b = 6.8264 Å, c = 7.3869 Å, α = 62.89°, β = 63.33° and γ = 60.32°. The inequivalent atoms are Er at (0.0298, 0.4201, 0.2596), Er at (0.2121, 0.9722, 0.7415), Er at (0.4182, 0.7910, 0.2591), Mg at (0.5000, 0.5000, 0.0000) and Tc at (0.0000, 0.0000, 0.5000).